Record 1
A plane-wave DFT calculation with PBE-GGA was carried out for CsLi after structural relaxation.

Values from the calculation:
DOS(E_F) = 1.8 states/eV/f.u.
SG = Fm-3m
E_form = 0.660 eV/f.u.

Unit cell a=8.391 b=8.391 c=8.391 alpha=90.00 beta=90.00 gamma=90.00
Atoms (fractional coordinates):
Cs1 0.500 0.500 0.500
Cs2 0.500 0.000 0.000
Cs3 0.000 0.500 0.000
Cs4 0.000 0.000 0.500
Li1 0.000 0.000 0.000
Li2 0.000 0.500 0.500
Li3 0.500 0.000 0.500
Li4 0.500 0.500 0.000

=====

Record 2
A plane-wave DFT calculation with PBE-GGA was carried out for CsLi after structural relaxation.

Values from the calculation:
DOS(E_F) = 1.2 states/eV/f.u.
SG = I-43m
E_form = 0.523 eV/f.u.

Unit cell a=11.651 b=11.651 c=11.651 alpha=90.00 beta=90.00 gamma=90.00
Atoms (fractional coordinates):
Cs1 0.285 0.285 0.285
Cs2 0.285 0.715 0.715
Cs3 0.715 0.285 0.715
Cs4 0.715 0.715 0.285
Cs5 0.785 0.785 0.785
Cs6 0.785 0.215 0.215
Cs7 0.215 0.785 0.215
Cs8 0.215 0.215 0.785
Li1 0.088 0.088 0.088
Li2 0.088 0.912 0.912
Li3 0.912 0.088 0.912
Li4 0.912 0.912 0.088
Li5 0.588 0.588 0.588
Li6 0.588 0.412 0.412
Li7 0.412 0.588 0.412
Li8 0.412 0.412 0.588

=====

Record 3
A plane-wave DFT calculation with PBE-GGA was carried out for CsLi after structural relaxation.

Values from the calculation:
DOS(E_F) = 0.9 states/eV/f.u.
SG = Cmcm
E_form = 0.326 eV/f.u.

Unit cell a=6.274 b=5.287 c=8.126 alpha=90.00 beta=112.75 gamma=90.00
Atoms (fractional coordinates):
Cs1 0.646 0.250 0.293
Cs2 0.354 0.750 0.707
Li1 0.951 0.250 0.902
Li2 0.049 0.750 0.098

=====

Record 4
A plane-wave DFT calculation with PBE-GGA was carried out for CsLi2 after structural relaxation.

Values from the calculation:
DOS(E_F) = 2.2 states/eV/f.u.
polymorph energy (0 for the lowest one) = 11 meV per atom
SG = I4/mmm
E_form = 0.552 eV/f.u.

Unit cell a=4.273 b=4.273 c=7.700 alpha=106.11 beta=106.11 gamma=90.00
Atoms (fractional coordinates):
Cs1 0.000 0.000 0.000
Li1 0.725 0.725 0.451
Li2 0.275 0.275 0.549

=====

Record 5
A plane-wave DFT calculation with PBE-GGA was carried out for CsLi after structural relaxation.

Values from the calculation:
DOS(E_F) = 1.4 states/eV/f.u.
SG = P6_3/mmc
E_form = 0.354 eV/f.u.

Unit cell a=11.525 b=11.525 c=6.738 alpha=90.00 beta=90.00 gamma=120.00
Atoms (fractional coordinates):
Cs1 0.814 0.628 0.250
Cs2 0.186 0.814 0.750
Cs3 0.372 0.186 0.250
Cs4 0.186 0.372 0.750
Cs5 0.814 0.186 0.250
Cs6 0.628 0.814 0.750
Li1 0.423 0.847 0.250
Li2 0.576 0.423 0.750
Li3 0.153 0.576 0.250
Li4 0.577 0.153 0.750
Li5 0.424 0.577 0.250
Li6 0.847 0.424 0.750

=====

Record 6
A plane-wave DFT calculation with PBE-GGA was carried out for CsLi after structural relaxation.

Values from the calculation:
DOS(E_F) = 1.0 states/eV/f.u.
SG = P6_3mc
E_form = 0.334 eV/f.u.

Unit cell a=7.000 b=7.000 c=5.964 alpha=90.00 beta=90.00 gamma=120.00
Atoms (fractional coordinates):
Cs1 0.333 0.667 0.447
Cs2 0.667 0.333 0.947
Li1 0.000 0.000 0.721
Li2 0.000 0.000 0.221

=====

Record 7
A plane-wave DFT calculation with PBE-GGA was carried out for Cs3LiMg after structural relaxation.

Values from the calculation:
DOS(E_F) = 5.9 states/eV/f.u.
polymorph energy (0 for the lowest one) = 0 meV per atom
SG = Pm-3m
E_form = 1.769 eV/f.u.

Unit cell a=7.613 b=7.613 c=7.613 alpha=90.00 beta=90.00 gamma=90.00
Atoms (fractional coordinates):
Cs1 0.000 0.500 0.000
Cs2 0.000 0.000 0.500
Cs3 0.500 0.000 0.000
Mg1 0.000 0.000 0.000
Li1 0.500 0.500 0.500

=====

Record 8
A plane-wave DFT calculation with PBE-GGA was carried out for CsLi2Mg2 after structural relaxation.

Values from the calculation:
DOS(E_F) = 2.9 states/eV/f.u.
polymorph energy (0 for the lowest one) = 0 meV per atom
SG = P4/mbm
E_form = 0.739 eV/f.u.

Unit cell a=9.504 b=9.504 c=3.420 alpha=90.00 beta=90.00 gamma=90.00
Atoms (fractional coordinates):
Cs1 0.000 0.000 0.000
Cs2 0.500 0.500 0.000
Mg1 0.117 0.617 0.500
Mg2 0.617 0.883 0.500
Mg3 0.883 0.383 0.500
Mg4 0.383 0.117 0.500
Li1 0.335 0.835 0.000
Li2 0.835 0.665 0.000
Li3 0.665 0.165 0.000
Li4 0.165 0.335 0.000

=====

Record 9
A plane-wave DFT calculation with PBE-GGA was carried out for CsLi2Mg after structural relaxation.

Values from the calculation:
DOS(E_F) = 3.9 states/eV/f.u.
SG = I-42d
E_form = 1.122 eV/f.u.

Unit cell a=5.958 b=5.958 c=11.270 alpha=74.67 beta=74.67 gamma=90.00
Atoms (fractional coordinates):
Cs1 0.000 0.000 0.000
Cs2 0.750 0.250 0.500
Mg1 0.500 0.500 0.000
Mg2 0.250 0.750 0.500
Li1 0.374 0.125 0.250
Li2 0.376 0.625 0.250
Li3 0.375 0.626 0.750
Li4 0.875 0.624 0.750

=====

Record 10
A plane-wave DFT calculation with PBE-GGA was carried out for CsLi2Mg2 after structural relaxation.

Values from the calculation:
DOS(E_F) = 2.9 states/eV/f.u.
polymorph energy (0 for the lowest one) = 75 meV per atom
SG = I4/mmm
E_form = 1.115 eV/f.u.

Unit cell a=7.085 b=7.085 c=7.085 alpha=134.30 beta=134.30 gamma=66.62
Atoms (fractional coordinates):
Cs1 0.000 0.000 0.000
Li1 0.750 0.250 0.500
Li2 0.250 0.750 0.500
Mg1 0.637 0.637 0.000
Mg2 0.363 0.363 0.000

=====

Record 11
A plane-wave DFT calculation with PBE-GGA was carried out for CsLiMg6O7 after structural relaxation.

Values from the calculation:
polymorph energy (0 for the lowest one) = 157 meV per atom
ΔE_f (raw) = -2692 kJ/mol of formula units
SG = P4mm

Unit cell a=4.543 b=4.543 c=8.554 alpha=90.00 beta=90.00 gamma=90.00
Atoms (fractional coordinates):
Cs1 0.500 0.500 0.085
Li1 0.000 0.000 0.980
Mg1 0.000 0.000 0.495
Mg2 0.500 0.500 0.518
Mg3 0.000 0.500 0.243
Mg4 0.000 0.500 0.763
Mg5 0.500 0.000 0.243
Mg6 0.500 0.000 0.763
O1 0.000 0.000 0.252
O2 0.000 0.000 0.730
O3 0.500 0.500 0.739
O4 0.000 0.500 0.993
O5 0.000 0.500 0.476
O6 0.500 0.000 0.993
O7 0.500 0.000 0.476

=====

Record 12
A plane-wave DFT calculation with PBE-GGA was carried out for CsLiMg6O7 after structural relaxation.

Values from the calculation:
DOS(E_F) = 2.0 states/eV/f.u.
polymorph energy (0 for the lowest one) = 11 meV per atom
ΔE_f (raw) = -2902 kJ/mol of formula units
SG = P4mm

Unit cell a=4.156 b=4.156 c=11.959 alpha=90.00 beta=90.00 gamma=90.00
Atoms (fractional coordinates):
Cs1 0.000 0.000 0.544
Mg1 0.500 0.500 0.011
Mg2 0.500 0.500 0.386
Mg3 0.000 0.500 0.205
Mg4 0.000 0.500 0.849
Mg5 0.500 0.000 0.205
Mg6 0.500 0.000 0.849
O1 0.000 0.000 0.196
O2 0.000 0.000 0.819
O3 0.500 0.500 0.842
O4 0.000 0.500 0.030
O5 0.000 0.500 0.375
O6 0.500 0.000 0.030
O7 0.500 0.000 0.375
Li1 0.000 0.000 0.033

=====

Record 13
A plane-wave DFT calculation with PBE-GGA was carried out for CsLiMg6O7 after structural relaxation.

Values from the calculation:
DOS(E_F) = 3.1 states/eV/f.u.
polymorph energy (0 for the lowest one) = 0 meV per atom
ΔE_f (raw) = -2918 kJ/mol of formula units
SG = P4mm

Unit cell a=4.164 b=4.164 c=12.413 alpha=90.00 beta=90.00 gamma=90.00
Atoms (fractional coordinates):
Cs1 0.500 0.500 0.971
Mg1 0.000 0.000 0.491
Mg2 0.500 0.500 0.473
Mg3 0.000 0.500 0.276
Mg4 0.000 0.500 0.655
Mg5 0.500 0.000 0.276
Mg6 0.500 0.000 0.655
O1 0.000 0.000 0.661
O2 0.500 0.500 0.311
O3 0.500 0.500 0.664
O4 0.000 0.500 0.122
O5 0.000 0.500 0.482
O6 0.500 0.000 0.122
O7 0.500 0.000 0.482
Li1 0.000 0.000 0.111

=====

Record 14
A plane-wave DFT calculation with PBE-GGA was carried out for CsLiMg6O7 after structural relaxation.

Values from the calculation:
DOS(E_F) = 0.0 states/eV/f.u.
polymorph energy (0 for the lowest one) = 102 meV per atom
ΔE_f (raw) = -2770 kJ/mol of formula units
SG = P4mm

Unit cell a=4.646 b=4.646 c=8.206 alpha=90.00 beta=90.00 gamma=90.00
Atoms (fractional coordinates):
Cs1 0.000 0.000 0.416
Li1 0.000 0.000 0.974
Mg1 0.500 0.500 0.005
Mg2 0.500 0.500 0.519
Mg3 0.000 0.500 0.248
Mg4 0.000 0.500 0.759
Mg5 0.500 0.000 0.248
Mg6 0.500 0.000 0.759
O1 0.000 0.000 0.753
O2 0.500 0.500 0.261
O3 0.500 0.500 0.761
O4 0.000 0.500 0.016
O5 0.000 0.500 0.508
O6 0.500 0.000 0.016
O7 0.500 0.000 0.508

=====

Record 15
A plane-wave DFT calculation with PBE-GGA was carried out for CsLiMgP2 after structural relaxation.

Values from the calculation:
DOS(E_F) = 4.7 states/eV/f.u.
SG = P4/mmm
E_form = 6.785 eV/f.u.

Unit cell a=5.689 b=5.992 c=5.689 alpha=90.00 beta=90.00 gamma=90.00
Atoms (fractional coordinates):
Cs1 0.000 0.000 0.000
P1 0.000 0.000 0.500
P2 0.500 0.000 0.000
Mg1 0.000 0.500 0.000
Li1 0.500 0.500 0.500

=====

Record 16
A plane-wave DFT calculation with PBE-GGA was carried out for CsLiMg2Pd after structural relaxation.

Values from the calculation:
DOS(E_F) = 2.9 states/eV/f.u.
SG = P4/mmm
E_form = -0.423 eV/f.u.

Unit cell a=5.275 b=5.275 c=5.405 alpha=90.00 beta=90.00 gamma=90.00
Atoms (fractional coordinates):
Cs1 0.500 0.500 0.500
Mg1 0.000 0.500 0.000
Mg2 0.500 0.000 0.000
Pd1 0.000 0.000 0.000
Li1 0.000 0.000 0.500

=====

Record 17
A plane-wave DFT calculation with PBE-GGA was carried out for CsRbLiMg2 after structural relaxation.

Values from the calculation:
DOS(E_F) = 3.7 states/eV/f.u.
SG = P4/mmm
E_form = 3.378 eV/f.u.

Unit cell a=7.153 b=6.864 c=7.153 alpha=90.00 beta=90.00 gamma=90.00
Atoms (fractional coordinates):
Cs1 0.000 0.000 0.000
Mg1 0.000 0.000 0.500
Mg2 0.500 0.000 0.000
Rb1 0.500 0.500 0.500
Li1 0.000 0.500 0.000

=====

Record 18
A plane-wave DFT calculation with PBE-GGA was carried out for Cs2LiMgRh after structural relaxation.

Values from the calculation:
DOS(E_F) = 1.6 states/eV/f.u.
SG = P4/mmm
E_form = 2.838 eV/f.u.

Unit cell a=7.241 b=4.873 c=7.241 alpha=90.00 beta=90.00 gamma=90.00
Atoms (fractional coordinates):
Cs1 0.000 0.000 0.500
Cs2 0.500 0.000 0.000
Mg1 0.000 0.000 0.000
Rh1 0.000 0.500 0.000
Li1 0.500 0.500 0.500

=====

Record 19
A plane-wave DFT calculation with PBE-GGA was carried out for Cs2LiMgSb2 after structural relaxation.

Values from the calculation:
DOS(E_F) = 4.9 states/eV/f.u.
ΔE_f (raw) = -284 kJ/mol of formula units
SG = Ibam

Unit cell a=7.166 b=7.171 c=10.138 alpha=110.71 beta=110.69 gamma=90.00
Atoms (fractional coordinates):
Cs1 0.413 0.171 0.342
Cs2 0.587 0.829 0.658
Cs3 0.071 0.329 0.658
Cs4 0.929 0.671 0.342
Li1 0.000 0.750 0.000
Li2 0.000 0.250 0.000
Mg1 0.500 0.750 0.000
Mg2 0.500 0.250 0.000
Sb1 0.832 0.085 0.170
Sb2 0.338 0.585 0.170
Sb3 0.662 0.415 0.830
Sb4 0.168 0.915 0.830

=====

Record 20
A plane-wave DFT calculation with PBE-GGA was carried out for CsLi2MgSn after structural relaxation.

Values from the calculation:
DOS(E_F) = 1.7 states/eV/f.u.
SG = P4/mmm
E_form = -0.359 eV/f.u.

Unit cell a=5.564 b=5.564 c=5.654 alpha=90.00 beta=90.00 gamma=90.00
Atoms (fractional coordinates):
Cs1 0.500 0.500 0.500
Mg1 0.000 0.000 0.500
Sn1 0.000 0.000 0.000
Li1 0.000 0.500 0.000
Li2 0.500 0.000 0.000